Entry 1:
DFT (PBE) results for a relaxed BaPdSe crystal.

Geometry as POSCAR:
```
BaPdSe
1.0
-2.955 6.863 -1.859
-4.990 -1.952 0.730
-0.389 2.453 3.898
Pd Ba Se
2 2 2
direct
0.456 0.967 0.167
0.456 0.467 0.167
0.726 0.717 0.531
0.186 0.217 0.804
0.743 0.217 0.022
0.169 0.717 0.313
```



Entry 2:
DFT (PBE) results for a relaxed BaPdSe crystal.

Geometry as POSCAR:
```
BaPdSe
1.0
-3.504 1.373 -9.762
-4.610 -5.535 0.876
-2.906 2.644 1.415
Se Ba Pd
4 4 4
direct
0.000 0.000 0.000
0.500 0.500 0.500
0.500 0.000 0.500
0.000 0.500 0.000
0.705 0.250 0.001
0.795 0.750 0.501
0.295 0.750 0.999
0.205 0.250 0.499
0.425 0.250 0.999
0.075 0.750 0.499
0.575 0.750 0.001
0.925 0.250 0.501
```



Entry 3:
DFT (PBE) results for a relaxed BaPd3Se crystal.

Geometry as POSCAR:
```
BaPd3Se
1.0
-4.753 -1.722 1.703
2.224 -1.619 4.570
-0.959 4.782 2.160
Se Ba Pd
1 1 3
direct
0.500 0.500 0.500
0.000 0.000 0.000
0.000 0.500 0.000
0.000 0.000 0.500
0.500 0.000 0.000
```

Values from the calculation:
Relative energy among the computed polymorphs   1522 meV/atom



Entry 4:
DFT (PBE) results for a relaxed BaPdSe2 crystal.

Geometry as POSCAR:
```
BaPdSe2
1.0
3.742 7.238 3.985
6.942 5.079 2.876
5.122 7.482 0.221
Se Ba Pd
2 1 1
direct
0.879 0.879 0.879
0.121 0.121 0.121
0.000 0.000 0.000
0.500 0.500 0.500
```



no.,E_form (uncorrected) (meV per atom)
1,-1226
2,-830
3,994
4,-357